Entry 1:
TaRu PBE optimized geometry; E_form = -0.1679 eV/atom; symmetry = I4_1/amd (141); DOS at the Fermi energy = 1.156 states/eV/atom
1.0
3.8298 0.0000 0.0000
0.0000 3.8298 0.0000
0.0000 0.0000 8.7962
Ta Ru
4 4
direct
0.0000 0.2500 0.3750
0.0000 0.7500 0.6250
0.5000 0.2500 0.1250
0.5000 0.7500 0.8750
0.0000 0.2500 0.8750
0.0000 0.7500 0.1250
0.5000 0.2500 0.6250
0.5000 0.7500 0.3750

Entry 2:
RbPb2CI PBE optimized geometry; symmetry = P4/mmm (123); DOS at the Fermi energy = 1.512 states/eV/atom; formation energy (no corrections) = 1666 meV per atom
1.0
6.1197 0.0000 0.0000
0.0000 6.1197 0.0000
0.0000 0.0000 6.6610
Rb Pb C I
1 2 1 1
direct
0.0000 0.0000 0.0000
0.0000 0.5000 0.5000
0.5000 0.0000 0.5000
0.5000 0.5000 0.0000
0.0000 0.0000 0.5000

Entry 3:
Hg2IrPb PBE optimized geometry; E_form = 0.3483 eV/atom; symmetry = C2/m (12); DOS at the Fermi energy = 0.639 states/eV/atom
1.0
13.6458 0.0000 0.0000
0.0000 3.1185 0.0000
-1.6203 0.0000 4.4212
Hg Ir Pb
4 2 2
direct
0.1956 0.0000 0.1960
0.3044 0.5000 0.8040
0.6956 0.5000 0.1960
0.8044 0.0000 0.8040
0.0000 0.5000 0.0000
0.5000 0.0000 0.0000
0.0000 0.0000 0.5000
0.5000 0.5000 0.5000

Entry 4:
CaTl2Cl PBE optimized geometry; polymorph energy (0 for the lowest one) = 445 meV per atom; symmetry = R-3m (166); DOS at the Fermi energy = 0.464 states/eV/atom; formation energy (no corrections) = -393 meV per atom
1.0
3.8684 0.0000 0.0000
-1.9342 3.3501 0.0000
0.0000 0.0000 29.2849
Ca Tl Cl
3 6 3
direct
0.0000 0.0000 0.0000
0.3333 0.6667 0.6667
0.6667 0.3333 0.3333
0.0000 0.0000 0.2420
0.0000 0.0000 0.7580
0.3333 0.6667 0.4247
0.3333 0.6667 0.9086
0.6667 0.3333 0.0914
0.6667 0.3333 0.5753
0.0000 0.0000 0.5000
0.3333 0.6667 0.1667
0.6667 0.3333 0.8333

Entry 5:
SrGa2N2 PBE optimized geometry; symmetry = C2/c (15); DOS at the Fermi energy = 0.258 states/eV/atom; formation energy (no corrections) = -35 meV per atom
1.0
4.7115 -4.1117 0.0000
4.7115 4.1117 0.0000
-3.1882 0.0000 4.4651
Sr Ga N
2 4 4
direct
0.1150 0.8850 0.7500
0.8850 0.1150 0.2500
0.2543 0.4865 0.2839
0.4865 0.2543 0.7839
0.5135 0.7457 0.2161
0.7457 0.5135 0.7161
0.2002 0.7998 0.2500
0.4292 0.5708 0.7500
0.5708 0.4292 0.2500
0.7998 0.2002 0.7500

Entry 6:
Dy6Pt2N PBE optimized geometry; symmetry = P2_1/c (14); DOS at the Fermi energy = 0.934 states/eV/atom; formation energy (no corrections) = -998 meV per atom
1.0
6.4897 0.0000 0.0000
0.0000 7.0130 0.0000
-6.2744 0.0000 9.4919
Dy Pt N
12 4 2
direct
0.1288 0.0310 0.2414
0.1288 0.4690 0.7414
0.2350 0.6963 0.0567
0.2350 0.8037 0.5567
0.3618 0.1792 0.0557
0.3618 0.3208 0.5557
0.6382 0.6792 0.4443
0.6382 0.8208 0.9443
0.7650 0.1963 0.4433
0.7650 0.3037 0.9433
0.8712 0.5310 0.2586
0.8712 0.9690 0.7586
0.2920 0.0917 0.7527
0.2920 0.4083 0.2527
0.7080 0.5917 0.7473
0.7080 0.9083 0.2473
0.0000 0.0000 0.0000
0.0000 0.5000 0.5000

Entry 7:
SrBRh2 PBE optimized geometry; E_form = -0.2251 eV/atom; symmetry = I-42d (122); DOS at the Fermi energy = 0.195 states/eV/atom
1.0
6.9277 0.0000 0.0000
0.0000 6.9277 0.0000
0.0000 0.0000 5.8887
Sr B Rh
4 4 8
direct
0.0000 0.0000 0.0000
0.0000 0.5000 0.2500
0.5000 0.0000 0.7500
0.5000 0.5000 0.5000
0.0000 0.0000 0.5000
0.0000 0.5000 0.7500
0.5000 0.0000 0.2500
0.5000 0.5000 0.0000
0.1234 0.2500 0.6250
0.2500 0.6234 0.8750
0.2500 0.8766 0.3750
0.3766 0.2500 0.1250
0.6234 0.7500 0.1250
0.7500 0.1234 0.3750
0.7500 0.3766 0.8750
0.8766 0.7500 0.6250

Entry 8:
MgTiSn2 PBE optimized geometry; E_form = -0.1135 eV/atom; symmetry = P4/mmm (123); DOS at the Fermi energy = 0.958 states/eV/atom
1.0
3.6764 0.0000 0.0000
0.0000 3.6764 0.0000
0.0000 0.0000 6.3482
Mg Ti Sn
1 1 2
direct
0.0000 0.0000 0.0000
0.0000 0.0000 0.5000
0.5000 0.5000 0.2626
0.5000 0.5000 0.7374